The following is a DFT calculation (PBE) of a relaxed K4ScCr crystal.

abc: 7.3394 7.3394 7.3394
angles: 60.00 60.00 60.00
Last column: magnetic moment on the atom in μB.
Positions (direct):
K 0.3744 0.3744 0.8768  0.01
K 0.8768 0.3744 0.3744  0.01
K 0.3744 0.8768 0.3744  0.01
K 0.3744 0.3744 0.3744  0.01
Cr 0.0000 0.0000 0.0000  4.20
Sc 0.7500 0.7500 0.7500  0.69

Computed properties:
**SG**: F-43m, No. 216
**Energy of formation from the pure elements**: 5.9 eV/f.u.
**Density of states at the Fermi level**: 8.23 states/eV per cell
**Mass density**: 1.50 Mg/m³

The following is a DFT calculation (PBE) of a relaxed Ce6In3Sn crystal.

abc: 5.9092 9.0369 10.4754
angles: 90.00 89.90 90.00
Last column: magnetic moment on the atom in μB.
Positions (direct):
In 0.5000 0.5000 0.0000  -0.01
In 0.0000 0.0000 0.5000  -0.01
In 0.2200 0.6155 0.2493  -0.01
In 0.2800 0.1155 0.2507  -0.01
In 0.7200 0.8845 0.7493  -0.01
In 0.7800 0.3845 0.7507  -0.01
Sn 0.5000 0.5000 0.5000  -0.01
Sn 0.0000 0.0000 0.0000  -0.01
Ce 0.7120 0.3587 0.2510  0.67
Ce 0.4767 0.8560 0.0490  0.65
Ce 0.9767 0.6440 0.5490  0.65
Ce 0.5233 0.1440 0.9510  0.65
Ce 0.7880 0.8587 0.2490  0.67
Ce 0.0233 0.3560 0.4510  0.65
Ce 0.4811 0.8543 0.4501  0.67
Ce 0.2120 0.1413 0.7510  0.67
Ce 0.0189 0.3543 0.0499  0.67
Ce 0.2880 0.6413 0.7490  0.67
Ce 0.9811 0.6457 0.9501  0.67
Ce 0.5189 0.1457 0.5499  0.67

Computed properties:
**SG**: P2_1/c, No. 14
**Energy of formation from the pure elements**: -2.4 eV/f.u.
**Density of states at the Fermi level**: 51.99 states/eV per cell
**Mass density**: 7.74 Mg/m³